The following is a PBE calculation of an optimized crystal structure of CeNdMgBi, from Alexandria.

The structure in CIF format:
```
data_CeNdMgBi
_symmetry_space_group_name_H-M 'F -4 3 m'
_symmetry_Int_Tables_number 216
_symmetry_space_group_name_Hall 'F -4 2 3'
_cell_length_a 7.820
_cell_length_b 7.820
_cell_length_c 7.820
_cell_angle_alpha 90.00
_cell_angle_beta 90.00
_cell_angle_gamma 90.00
loop_
_atom_site_label
_atom_site_type_symbol
_atom_site_fract_x
_atom_site_fract_y
_atom_site_fract_z
_atom_site_occupancy
Ce1 Ce 0.000 0.000 0.000 1
Nd1 Nd 0.000 0.000 0.500 1
Mg1 Mg 0.250 0.250 0.250 1
Bi1 Bi 0.250 0.250 0.750 1
```

## Properties
Energy relative to the elements: -0.300 eV/atom



The following is a PBE calculation of an optimized crystal structure of CeMgBiPb, from Alexandria.

The structure in CIF format:
```
data_CeMgBiPb
_symmetry_space_group_name_H-M 'F -4 3 m'
_symmetry_Int_Tables_number 216
_symmetry_space_group_name_Hall 'F -4 2 3'
_cell_length_a 7.702
_cell_length_b 7.702
_cell_length_c 7.702
_cell_angle_alpha 90.00
_cell_angle_beta 90.00
_cell_angle_gamma 90.00
loop_
_atom_site_label
_atom_site_type_symbol
_atom_site_fract_x
_atom_site_fract_y
_atom_site_fract_z
_atom_site_occupancy
Ce1 Ce 0.000 0.000 0.000 1
Mg1 Mg 0.000 0.000 0.500 1
Bi1 Bi 0.250 0.250 0.750 1
Pb1 Pb 0.250 0.250 0.250 1
```

## Properties
Energy relative to the elements: -0.259 eV/atom



The following is a PBE calculation of an optimized crystal structure of CeMgBiPb, from Alexandria.

The structure in CIF format:
```
data_CeMgBiPb
_symmetry_space_group_name_H-M 'P m m m'
_symmetry_Int_Tables_number 47
_cell_length_a 4.431
_cell_length_b 4.981
_cell_length_c 5.066
_cell_angle_alpha 90.00
_cell_angle_beta 90.00
_cell_angle_gamma 90.00
loop_
_symmetry_equiv_pos_as_xyz
'x,y,z'
'-x,-y,-z'
'-x,-y,z'
'x,y,-z'
'x,-y,-z'
'-x,y,z'
'-x,y,-z'
'x,-y,z'
loop_
_atom_site_label
_atom_site_type_symbol
_atom_site_fract_x
_atom_site_fract_y
_atom_site_fract_z
_atom_site_occupancy
Ce1 Ce 0.000 0.000 0.000 1
Mg1 Mg 0.000 0.500 0.500 1
Bi1 Bi 0.500 0.500 0.000 1
Pb1 Pb 0.500 0.000 0.500 1
```

## Properties
Energy relative to the elements: -0.427 eV/atom



The following is a PBE calculation of an optimized crystal structure of CeMgSnBi, from Alexandria.

The structure in CIF format:
```
data_CeMgSnBi
_symmetry_space_group_name_H-M 'F -4 3 m'
_symmetry_Int_Tables_number 216
_symmetry_space_group_name_Hall 'F -4 2 3'
_cell_length_a 7.616
_cell_length_b 7.616
_cell_length_c 7.616
_cell_angle_alpha 90.00
_cell_angle_beta 90.00
_cell_angle_gamma 90.00
loop_
_atom_site_label
_atom_site_type_symbol
_atom_site_fract_x
_atom_site_fract_y
_atom_site_fract_z
_atom_site_occupancy
Ce1 Ce 0.000 0.000 0.000 1
Mg1 Mg 0.000 0.000 0.500 1
Sn1 Sn 0.250 0.250 0.750 1
Bi1 Bi 0.250 0.250 0.250 1
```

## Properties
Energy relative to the elements: -0.316 eV/atom



The following is a PBE calculation of an optimized crystal structure of CeMgSnBi, from Alexandria.

The structure in CIF format:
```
data_CeMgSnBi
_symmetry_space_group_name_H-M 'P m m m'
_symmetry_Int_Tables_number 47
_cell_length_a 4.387
_cell_length_b 4.951
_cell_length_c 4.957
_cell_angle_alpha 90.00
_cell_angle_beta 90.00
_cell_angle_gamma 90.00
loop_
_symmetry_equiv_pos_as_xyz
'x,y,z'
'-x,-y,-z'
'-x,-y,z'
'x,y,-z'
'x,-y,-z'
'-x,y,z'
'-x,y,-z'
'x,-y,z'
loop_
_atom_site_label
_atom_site_type_symbol
_atom_site_fract_x
_atom_site_fract_y
_atom_site_fract_z
_atom_site_occupancy
Ce1 Ce 0.000 0.000 0.000 1
Mg1 Mg 0.000 0.500 0.500 1
Sn1 Sn 0.500 0.000 0.500 1
Bi1 Bi 0.500 0.500 0.000 1
```

## Properties
Energy relative to the elements: -0.496 eV/atom



The following is a PBE calculation of an optimized crystal structure of CeMgTlBi, from Alexandria.

The structure in CIF format:
```
data_CeMgTlBi
_symmetry_space_group_name_H-M 'F -4 3 m'
_symmetry_Int_Tables_number 216
_symmetry_space_group_name_Hall 'F -4 2 3'
_cell_length_a 7.656
_cell_length_b 7.656
_cell_length_c 7.656
_cell_angle_alpha 90.00
_cell_angle_beta 90.00
_cell_angle_gamma 90.00
loop_
_atom_site_label
_atom_site_type_symbol
_atom_site_fract_x
_atom_site_fract_y
_atom_site_fract_z
_atom_site_occupancy
Ce1 Ce 0.000 0.000 0.000 1
Mg1 Mg 0.000 0.000 0.500 1
Tl1 Tl 0.250 0.250 0.750 1
Bi1 Bi 0.250 0.250 0.250 1
```

## Properties
Energy relative to the elements: -0.251 eV/atom



The following is a PBE calculation of an optimized crystal structure of CeMgTlBi, from Alexandria.

The structure in CIF format:
```
data_CeMgTlBi
_symmetry_space_group_name_H-M 'P m m m'
_symmetry_Int_Tables_number 47
_cell_length_a 4.455
_cell_length_b 4.849
_cell_length_c 5.139
_cell_angle_alpha 90.00
_cell_angle_beta 90.00
_cell_angle_gamma 90.00
loop_
_symmetry_equiv_pos_as_xyz
'x,y,z'
'-x,-y,-z'
'-x,-y,z'
'x,y,-z'
'x,-y,-z'
'-x,y,z'
'-x,y,-z'
'x,-y,z'
loop_
_atom_site_label
_atom_site_type_symbol
_atom_site_fract_x
_atom_site_fract_y
_atom_site_fract_z
_atom_site_occupancy
Ce1 Ce 0.000 0.000 0.000 1
Mg1 Mg 0.000 0.500 0.500 1
Tl1 Tl 0.500 0.000 0.500 1
Bi1 Bi 0.500 0.500 0.000 1
```

## Properties
Energy relative to the elements: -0.381 eV/atom



The following is a PBE calculation of an optimized crystal structure of Ce2MnBi, from Alexandria.

The structure in CIF format:
```
data_Ce2MnBi
_symmetry_space_group_name_H-M 'R -3 m'
_symmetry_Int_Tables_number 166
_symmetry_space_group_name_Hall '-R 3 2"'
_cell_length_a 3.7146
_cell_length_b 3.7146
_cell_length_c 28.9078
_cell_angle_alpha 90.00
_cell_angle_beta 90.00
_cell_angle_gamma 120.00
loop_
_atom_site_label
_atom_site_type_symbol
_atom_site_fract_x
_atom_site_fract_y
_atom_site_fract_z
_atom_site_occupancy
Ce1 Ce 0.0000 0.0000 0.1149 1
Mn1 Mn 0.0000 0.0000 0.5000 1
Bi1 Bi 0.0000 0.0000 0.0000 1
```

## Properties
Energy relative to the elements: 0.198 eV/atom



The following is a PBE calculation of an optimized crystal structure of Ce3MnBi, from Alexandria.

The structure in CIF format:
```
data_Ce3MnBi
_symmetry_space_group_name_H-M 'P m -3 m'
_symmetry_Int_Tables_number 221
_symmetry_space_group_name_Hall '-P 4 2 3'
_cell_length_a 5.088
_cell_length_b 5.088
_cell_length_c 5.088
_cell_angle_alpha 90.00
_cell_angle_beta 90.00
_cell_angle_gamma 90.00
loop_
_atom_site_label
_atom_site_type_symbol
_atom_site_fract_x
_atom_site_fract_y
_atom_site_fract_z
_atom_site_occupancy
Ce1 Ce 0.000 0.000 0.500 1
Mn1 Mn 0.000 0.000 0.000 1
Bi1 Bi 0.500 0.500 0.500 1
```

## Properties
Energy relative to the elements: -0.334 eV/atom



The following is a PBE calculation of an optimized crystal structure of CeMnBi, from Alexandria.

The structure in CIF format:
```
data_CeMnBi
_symmetry_space_group_name_H-M 'C m c m'
_symmetry_Int_Tables_number 63
_symmetry_space_group_name_Hall '-C 2c 2'
_cell_length_a 3.403
_cell_length_b 23.767
_cell_length_c 3.672
_cell_angle_alpha 90.00
_cell_angle_beta 90.00
_cell_angle_gamma 90.00
loop_
_atom_site_label
_atom_site_type_symbol
_atom_site_fract_x
_atom_site_fract_y
_atom_site_fract_z
_atom_site_occupancy
Ce1 Ce 0.000 0.169 0.250 1
Mn1 Mn 0.000 0.259 0.250 1
Bi1 Bi 0.000 0.435 0.250 1
```

## Properties
Energy relative to the elements: -0.002 eV/atom



What did the seventh record say?
The following is a PBE calculation of an optimized crystal structure of CeMgTlBi, from Alexandria.

The structure in CIF format:
```
data_CeMgTlBi
_symmetry_space_group_name_H-M 'P m m m'
_symmetry_Int_Tables_number 47
_cell_length_a 4.455
_cell_length_b 4.849
_cell_length_c 5.139
_cell_angle_alpha 90.00
_cell_angle_beta 90.00
_cell_angle_gamma 90.00
loop_
_symmetry_equiv_pos_as_xyz
'x,y,z'
'-x,-y,-z'
'-x,-y,z'
'x,y,-z'
'x,-y,-z'
'-x,y,z'
'-x,y,-z'
'x,-y,z'
loop_
_atom_site_label
_atom_site_type_symbol
_atom_site_fract_x
_atom_site_fract_y
_atom_site_fract_z
_atom_site_occupancy
Ce1 Ce 0.000 0.000 0.000 1
Mg1 Mg 0.000 0.500 0.500 1
Tl1 Tl 0.500 0.000 0.500 1
Bi1 Bi 0.500 0.500 0.000 1
```

## Properties
Energy relative to the elements: -0.381 eV/atom